# 1
The following is a PBE-GGA calculation of Pu2CoCuGe6 after structural relaxation, from Alexandria.

Properties
Density, Mg/m³: 9.17
Space-group type: R-3m (166)

Geometry as CIF:
```
data_Pu2CoCuGe6
_symmetry_space_group_name_H-M 'P 1'
_symmetry_Int_Tables_number 1
_cell_length_a 12.2206
_cell_length_b 12.2206
_cell_length_c 12.2206
_cell_angle_alpha 28.97
_cell_angle_beta 28.97
_cell_angle_gamma 28.97
loop_
_symmetry_equiv_pos_as_xyz
'x,y,z'
loop_
_atom_site_label
_atom_site_type_symbol
_atom_site_fract_x
_atom_site_fract_y
_atom_site_fract_z
Pu1 Pu 0.1172 0.1172 0.1172
Pu2 Pu 0.2985 0.2985 0.2985
Pu3 Pu 0.7015 0.7015 0.7015
Pu4 Pu 0.8828 0.8828 0.8828
Co1 Co 0.4308 0.4308 0.4308
Co2 Co 0.5692 0.5692 0.5692
Cu1 Cu 0.0000 0.0000 0.0000
Cu2 Cu 0.5000 0.5000 0.5000
Ge1 Ge 0.0664 0.6551 0.6551
Ge2 Ge 0.2310 0.2310 0.6713
Ge3 Ge 0.2310 0.6713 0.2310
Ge4 Ge 0.3287 0.7690 0.7690
Ge5 Ge 0.3449 0.3449 0.9336
Ge6 Ge 0.3449 0.9336 0.3449
Ge7 Ge 0.6551 0.0664 0.6551
Ge8 Ge 0.6551 0.6551 0.0664
Ge9 Ge 0.6713 0.2310 0.2310
Ge10 Ge 0.7690 0.3287 0.7690
Ge11 Ge 0.7690 0.7690 0.3287
Ge12 Ge 0.9336 0.3449 0.3449
```

***

# 2
The following is a PBE-GGA calculation of CoCu2GeRh after structural relaxation, from Alexandria.

Properties
Density, Mg/m³: 7.31
Space-group type: P4/mmm (123)

Geometry as CIF:
```
data_CoCu2GeRh
_symmetry_space_group_name_H-M 'P 1'
_symmetry_Int_Tables_number 1
_cell_length_a 4.3617
_cell_length_b 4.3617
_cell_length_c 4.3174
_cell_angle_alpha 90.00
_cell_angle_beta 90.00
_cell_angle_gamma 90.00
loop_
_symmetry_equiv_pos_as_xyz
'x,y,z'
loop_
_atom_site_label
_atom_site_type_symbol
_atom_site_fract_x
_atom_site_fract_y
_atom_site_fract_z
Co1 Co 0.0000 0.0000 0.0000
Cu1 Cu 0.0000 0.5000 0.5000
Cu2 Cu 0.5000 0.0000 0.5000
Ge1 Ge 0.0000 0.0000 0.5000
Rh1 Rh 0.5000 0.5000 0.0000
```

***

# 3
The following is a PBE-GGA calculation of CoCuGeRu after structural relaxation, from Alexandria.

Properties
Density, Mg/m³: 9.76
Space-group type: F-43m (216)

Geometry as CIF:
```
data_CoCuGeRu
_symmetry_space_group_name_H-M 'P 1'
_symmetry_Int_Tables_number 1
_cell_length_a 5.8631
_cell_length_b 5.8631
_cell_length_c 5.8631
_cell_angle_alpha 90.00
_cell_angle_beta 90.00
_cell_angle_gamma 90.00
loop_
_symmetry_equiv_pos_as_xyz
'x,y,z'
loop_
_atom_site_label
_atom_site_type_symbol
_atom_site_fract_x
_atom_site_fract_y
_atom_site_fract_z
Co1 Co 0.0000 0.0000 0.0000
Co2 Co 0.0000 0.5000 0.5000
Co3 Co 0.5000 0.0000 0.5000
Co4 Co 0.5000 0.5000 0.0000
Cu1 Cu 0.2500 0.2500 0.2500
Cu2 Cu 0.2500 0.7500 0.7500
Cu3 Cu 0.7500 0.2500 0.7500
Cu4 Cu 0.7500 0.7500 0.2500
Ge1 Ge 0.2500 0.2500 0.7500
Ge2 Ge 0.2500 0.7500 0.2500
Ge3 Ge 0.7500 0.2500 0.2500
Ge4 Ge 0.7500 0.7500 0.7500
Ru1 Ru 0.0000 0.0000 0.5000
Ru2 Ru 0.0000 0.5000 0.0000
Ru3 Ru 0.5000 0.0000 0.0000
Ru4 Ru 0.5000 0.5000 0.5000
```

***

# 4
The following is a PBE-GGA calculation of CoCuGeS4 after structural relaxation, from Alexandria.

Properties
ΔE_f (raw), eV per formula unit: -2.60
Density, Mg/m³: 4.60
Space-group type: Imma (74)

Geometry as CIF:
```
data_CoCuGeS4
_symmetry_space_group_name_H-M 'P 1'
_symmetry_Int_Tables_number 1
_cell_length_a 6.9046
_cell_length_b 6.9046
_cell_length_c 6.9046
_cell_angle_alpha 119.81
_cell_angle_beta 119.67
_cell_angle_gamma 90.45
loop_
_symmetry_equiv_pos_as_xyz
'x,y,z'
loop_
_atom_site_label
_atom_site_type_symbol
_atom_site_fract_x
_atom_site_fract_y
_atom_site_fract_z
Co1 Co 0.5000 0.0000 0.0000
Co2 Co 0.5000 0.5000 0.5000
Cu1 Cu 0.1194 0.3694 0.7500
Cu2 Cu 0.8806 0.6306 0.2500
Ge1 Ge 0.0000 0.0000 0.0000
Ge2 Ge 0.5000 0.0000 0.5000
S1 S 0.2664 0.2595 0.4932
S2 S 0.2664 0.7732 0.0068
S3 S 0.2770 0.2456 0.0314
S4 S 0.2858 0.7544 0.5314
S5 S 0.7142 0.2456 0.4686
S6 S 0.7230 0.7544 0.9686
S7 S 0.7336 0.2268 0.9932
S8 S 0.7336 0.7405 0.5068
```

***

# 5
The following is a PBE-GGA calculation of ScCoCuGe after structural relaxation, from Alexandria.

Properties
Density, Mg/m³: 7.11
Space-group type: F-43m (216)

Geometry as CIF:
```
data_ScCoCuGe
_symmetry_space_group_name_H-M 'P 1'
_symmetry_Int_Tables_number 1
_cell_length_a 6.0753
_cell_length_b 6.0753
_cell_length_c 6.0753
_cell_angle_alpha 90.00
_cell_angle_beta 90.00
_cell_angle_gamma 90.00
loop_
_symmetry_equiv_pos_as_xyz
'x,y,z'
loop_
_atom_site_label
_atom_site_type_symbol
_atom_site_fract_x
_atom_site_fract_y
_atom_site_fract_z
Sc1 Sc 0.0000 0.0000 0.0000
Sc2 Sc 0.0000 0.5000 0.5000
Sc3 Sc 0.5000 0.0000 0.5000
Sc4 Sc 0.5000 0.5000 0.0000
Co1 Co 0.2500 0.2500 0.2500
Co2 Co 0.2500 0.7500 0.7500
Co3 Co 0.7500 0.2500 0.7500
Co4 Co 0.7500 0.7500 0.2500
Cu1 Cu 0.2500 0.2500 0.7500
Cu2 Cu 0.2500 0.7500 0.2500
Cu3 Cu 0.7500 0.2500 0.2500
Cu4 Cu 0.7500 0.7500 0.7500
Ge1 Ge 0.0000 0.0000 0.5000
Ge2 Ge 0.0000 0.5000 0.0000
Ge3 Ge 0.5000 0.0000 0.0000
Ge4 Ge 0.5000 0.5000 0.5000
```

***

# 6
The following is a PBE-GGA calculation of CoCu2GeSe4 after structural relaxation, from Alexandria.

Properties
ΔE_f (raw), eV per formula unit: -1.69
Density, Mg/m³: 5.47
Space-group type: I-4 (82)

Geometry as CIF:
```
data_CoCu2GeSe4
_symmetry_space_group_name_H-M 'P 1'
_symmetry_Int_Tables_number 1
_cell_length_a 5.5925
_cell_length_b 5.5925
_cell_length_c 11.1563
_cell_angle_alpha 90.00
_cell_angle_beta 90.00
_cell_angle_gamma 90.00
loop_
_symmetry_equiv_pos_as_xyz
'x,y,z'
loop_
_atom_site_label
_atom_site_type_symbol
_atom_site_fract_x
_atom_site_fract_y
_atom_site_fract_z
Co1 Co 0.0000 0.0000 0.0000
Co2 Co 0.5000 0.5000 0.5000
Cu1 Cu 0.0000 0.0000 0.5000
Cu2 Cu 0.0000 0.5000 0.2500
Cu3 Cu 0.5000 0.0000 0.7500
Cu4 Cu 0.5000 0.5000 0.0000
Ge1 Ge 0.0000 0.5000 0.7500
Ge2 Ge 0.5000 0.0000 0.2500
Se1 Se 0.2435 0.7504 0.1208
Se2 Se 0.2496 0.2435 0.8792
Se3 Se 0.2504 0.2565 0.3792
Se4 Se 0.2565 0.7496 0.6208
Se5 Se 0.7435 0.2504 0.6208
Se6 Se 0.7496 0.7435 0.3792
Se7 Se 0.7504 0.7565 0.8792
Se8 Se 0.7565 0.2496 0.1208
```

***

# 7
The following is a PBE-GGA calculation of CoCu2GeSe4 after structural relaxation, from Alexandria.

Properties
ΔE_f (raw), eV per formula unit: -1.54
Density, Mg/m³: 5.46
Space-group type: Pmn2_1 (31)

Geometry as CIF:
```
data_CoCu2GeSe4
_symmetry_space_group_name_H-M 'P 1'
_symmetry_Int_Tables_number 1
_cell_length_a 7.8776
_cell_length_b 6.8079
_cell_length_c 6.5142
_cell_angle_alpha 90.00
_cell_angle_beta 90.00
_cell_angle_gamma 90.00
loop_
_symmetry_equiv_pos_as_xyz
'x,y,z'
loop_
_atom_site_label
_atom_site_type_symbol
_atom_site_fract_x
_atom_site_fract_y
_atom_site_fract_z
Co1 Co 0.0000 0.1662 0.0000
Co2 Co 0.5000 0.8338 0.5000
Cu1 Cu 0.2492 0.3245 0.5101
Cu2 Cu 0.2508 0.6755 0.0101
Cu3 Cu 0.7492 0.6755 0.0101
Cu4 Cu 0.7508 0.3245 0.5101
Ge1 Ge 0.0000 0.8338 0.5039
Ge2 Ge 0.5000 0.1662 0.0039
Se1 Se 0.0000 0.1693 0.3671
Se2 Se 0.0000 0.8376 0.8839
Se3 Se 0.2430 0.3400 0.8804
Se4 Se 0.2570 0.6600 0.3804
Se5 Se 0.5000 0.1624 0.3839
Se6 Se 0.5000 0.8307 0.8671
Se7 Se 0.7430 0.6600 0.3804
Se8 Se 0.7570 0.3400 0.8804
```

***

# 8
The following is a PBE-GGA calculation of Sm2CoCu3Ge4 after structural relaxation, from Alexandria.

Properties
Density, Mg/m³: 8.08
Space-group type: P-4m2 (115)

Geometry as CIF:
```
data_Sm2CoCu3Ge4
_symmetry_space_group_name_H-M 'P 1'
_symmetry_Int_Tables_number 1
_cell_length_a 4.1290
_cell_length_b 4.1290
_cell_length_c 10.1421
_cell_angle_alpha 90.00
_cell_angle_beta 90.00
_cell_angle_gamma 90.00
loop_
_symmetry_equiv_pos_as_xyz
'x,y,z'
loop_
_atom_site_label
_atom_site_type_symbol
_atom_site_fract_x
_atom_site_fract_y
_atom_site_fract_z
Sm1 Sm 0.0000 0.5000 0.2427
Sm2 Sm 0.5000 0.0000 0.7573
Co1 Co 0.5000 0.5000 0.0000
Cu1 Cu 0.0000 0.0000 0.0000
Cu2 Cu 0.0000 0.5000 0.6364
Cu3 Cu 0.5000 0.0000 0.3636
Ge1 Ge 0.0000 0.0000 0.5000
Ge2 Ge 0.0000 0.5000 0.8749
Ge3 Ge 0.5000 0.0000 0.1251
Ge4 Ge 0.5000 0.5000 0.5000
```

***

# 9
The following is a PBE-GGA calculation of SrCoCuGe after structural relaxation, from Alexandria.

Properties
Density, Mg/m³: 5.73
Space-group type: P4/nmm (129)

Geometry as CIF:
```
data_SrCoCuGe
_symmetry_space_group_name_H-M 'P 1'
_symmetry_Int_Tables_number 1
_cell_length_a 3.8383
_cell_length_b 3.8383
_cell_length_c 11.1240
_cell_angle_alpha 90.00
_cell_angle_beta 90.00
_cell_angle_gamma 90.00
loop_
_symmetry_equiv_pos_as_xyz
'x,y,z'
loop_
_atom_site_label
_atom_site_type_symbol
_atom_site_fract_x
_atom_site_fract_y
_atom_site_fract_z
Sr1 Sr 0.2500 0.2500 0.2328
Sr2 Sr 0.7500 0.7500 0.7672
Co1 Co 0.2500 0.7500 0.5000
Co2 Co 0.7500 0.2500 0.5000
Cu1 Cu 0.2500 0.7500 0.0000
Cu2 Cu 0.7500 0.2500 0.0000
Ge1 Ge 0.2500 0.2500 0.6172
Ge2 Ge 0.7500 0.7500 0.3828
```

***

# 10
The following is a PBE-GGA calculation of TbCoCuGe2 after structural relaxation, from Alexandria.

Properties
Density, Mg/m³: 8.52
Space-group type: I-4m2 (119)

Geometry as CIF:
```
data_TbCoCuGe2
_symmetry_space_group_name_H-M 'P 1'
_symmetry_Int_Tables_number 1
_cell_length_a 4.0663
_cell_length_b 4.0663
_cell_length_c 10.0594
_cell_angle_alpha 90.00
_cell_angle_beta 90.00
_cell_angle_gamma 90.00
loop_
_symmetry_equiv_pos_as_xyz
'x,y,z'
loop_
_atom_site_label
_atom_site_type_symbol
_atom_site_fract_x
_atom_site_fract_y
_atom_site_fract_z
Tb1 Tb 0.0000 0.0000 0.0000
Tb2 Tb 0.5000 0.5000 0.5000
Co1 Co 0.0000 0.5000 0.2500
Co2 Co 0.5000 0.0000 0.7500
Cu1 Cu 0.0000 0.5000 0.7500
Cu2 Cu 0.5000 0.0000 0.2500
Ge1 Ge 0.0000 0.0000 0.3745
Ge2 Ge 0.0000 0.0000 0.6255
Ge3 Ge 0.5000 0.5000 0.1255
Ge4 Ge 0.5000 0.5000 0.8745
```

***

Q: Which uncorrected energy values were calculated for the entries above? A: -139.0 -22.9 -100.7 -69.9 -93.7 -71.1 -70.8 -52.2 -36.4 -55.2, in eV per cell.